Below is a geometry-optimized Tb3PaSe6 structure, with properties calculated at the PBE-GGA level.

Structure (POSCAR):
```
Tb3PaSe6
1.0
-0.493 -6.918 -1.648
2.800 -2.151 8.194
-8.850 0.375 1.070
Tb Se Pa
6 12 2
direct
0.983 0.710 0.913
0.378 0.406 0.594
0.878 0.594 0.406
0.983 0.087 0.290
0.483 0.913 0.710
0.483 0.290 0.087
0.706 0.902 0.437
0.757 0.992 0.008
0.624 0.230 0.770
0.706 0.563 0.098
0.676 0.302 0.371
0.176 0.371 0.302
0.257 0.008 0.992
0.176 0.698 0.629
0.676 0.629 0.698
0.206 0.437 0.902
0.124 0.770 0.230
0.206 0.098 0.563
0.996 0.165 0.835
0.496 0.835 0.165
```

Computed properties:
Its space group is Cmc2_1. The calculation puts the total energy at -6.03 eV per atom. As for the uncorrected formation energy: -1.599 eV/atom. For the density of states at the Fermi level, the calculation gives 11.68 states/eV/cell. As for the excess energy over the best structure of this formula in the dataset: 2.90 kcal/mol of atoms.